(1)
VASP calculation (PBE) on crystalline CdHPt3 at its relaxed geometry.

Cell: 3.860 3.860 6.602 Å, 90.00 90.00 90.00°
Atoms (fractional coordinates):
Cd: 0.000 0.000 0.000
H: 0.500 0.500 0.302
Pt: 0.000 0.000 0.602
Pt: 0.000 0.500 0.319
Pt: 0.500 0.000 0.319

Computed properties:
uncorrected energy = -4.185 eV per atom
total magnetic moment = 0.00 Bohr magnetons per cell
ΔE to the lowest computed polymorph = 0.4394 eV per atom
N(E_F) = 5.22 states/eV per cell
ρ = 11.8 g/cm³

---

(2)
VASP calculation (PBE) on crystalline Cd2HPt2 at its relaxed geometry.

Cell: 5.537 5.537 5.801 Å, 95.20 95.20 61.25°
Atoms (fractional coordinates):
Cd: 0.014 0.261 0.121
Cd: 0.261 0.014 0.621
Cd: 0.739 0.986 0.379
Cd: 0.986 0.739 0.879
H: 0.381 0.619 0.250
H: 0.619 0.381 0.750
Pt: 0.246 0.506 0.459
Pt: 0.494 0.754 0.041
Pt: 0.506 0.246 0.959
Pt: 0.754 0.494 0.541

Computed properties:
uncorrected energy = -3.634 eV per atom
total magnetic moment = 0.00 Bohr magnetons per cell
ΔE to the lowest computed polymorph = 0.0047 eV per atom
N(E_F) = 2.60 states/eV per cell
ρ = 13.2 g/cm³

---

(3)
VASP calculation (PBE) on crystalline Cd2H4Pt5 at its relaxed geometry.

Cell: 5.379 5.379 6.033 Å, 102.15 102.15 117.20°
Atoms (fractional coordinates):
Cd: 0.213 0.213 0.298
Cd: 0.787 0.787 0.702
H: 0.111 0.373 0.762
H: 0.373 0.111 0.762
H: 0.627 0.889 0.238
H: 0.889 0.627 0.238
Pt: 0.000 0.500 0.000
Pt: 0.221 0.779 0.500
Pt: 0.500 0.000 0.000
Pt: 0.500 0.500 0.000
Pt: 0.779 0.221 0.500

Computed properties:
uncorrected energy = -4.195 eV per atom
total magnetic moment = 0.00 Bohr magnetons per cell
N(E_F) = 3.48 states/eV per cell
ρ = 14.1 g/cm³

---

(4)
VASP calculation (PBE) on crystalline CdHPt3 at its relaxed geometry.

Cell: 5.813 5.813 5.805 Å, 119.96 119.96 60.51°
Atoms (fractional coordinates):
Cd: 0.000 0.000 0.000
Cd: 0.500 0.500 0.494
H: 0.214 0.214 0.612
H: 0.785 0.785 0.183
Pt: 0.000 0.000 0.502
Pt: 0.006 0.490 0.988
Pt: 0.490 0.006 0.988
Pt: 0.500 0.500 0.993
Pt: 0.510 0.994 0.492
Pt: 0.994 0.510 0.492

Computed properties:
uncorrected energy = -4.616 eV per atom
total magnetic moment = 0.00 Bohr magnetons per cell
ΔE to the lowest computed polymorph = 0.0086 eV per atom
N(E_F) = 8.82 states/eV per cell
ρ = 16.7 g/cm³

---

(5)
VASP calculation (PBE) on crystalline CdHPt3 at its relaxed geometry.

Cell: 4.569 4.569 7.987 Å, 90.00 90.00 120.00°
Atoms (fractional coordinates):
Cd: 0.333 0.667 0.250
Cd: 0.667 0.333 0.750
H: 0.000 0.000 0.000
H: 0.000 0.000 0.500
Pt: 0.000 0.000 0.250
Pt: 0.000 0.000 0.750
Pt: 0.333 0.667 0.581
Pt: 0.333 0.667 0.919
Pt: 0.667 0.333 0.081
Pt: 0.667 0.333 0.419

Computed properties:
uncorrected energy = -4.302 eV per atom
total magnetic moment = 0.00 Bohr magnetons per cell
ΔE to the lowest computed polymorph = 0.3226 eV per atom
N(E_F) = 5.64 states/eV per cell
ρ = 16.1 g/cm³

---

(6)
VASP calculation (PBE) on crystalline CdH2Pt4 at its relaxed geometry.

Cell: 4.795 2.835 7.340 Å, 90.00 103.10 90.00°
Atoms (fractional coordinates):
Cd: 0.000 0.000 0.000
H: 0.445 0.500 0.795
H: 0.555 0.500 0.205
Pt: 0.230 0.000 0.677
Pt: 0.264 0.500 0.328
Pt: 0.736 0.500 0.672
Pt: 0.770 0.000 0.323

Computed properties:
uncorrected energy = -4.635 eV per atom
total magnetic moment = 0.00 Bohr magnetons per cell
ΔE to the lowest computed polymorph = 0.0000 eV per atom
N(E_F) = 3.07 states/eV per cell
ρ = 15.3 g/cm³

---

(7)
VASP calculation (PBE) on crystalline Cd2HPt2 at its relaxed geometry.

Cell: 5.614 5.614 4.931 Å, 90.00 90.00 90.00°
Atoms (fractional coordinates):
Cd: 0.171 0.329 0.000
Cd: 0.329 0.829 0.000
Cd: 0.671 0.171 0.000
Cd: 0.829 0.671 0.000
H: 0.000 0.000 0.500
H: 0.500 0.500 0.500
Pt: 0.180 0.680 0.500
Pt: 0.320 0.180 0.500
Pt: 0.680 0.820 0.500
Pt: 0.820 0.320 0.500

Computed properties:
uncorrected energy = -3.472 eV per atom
total magnetic moment = 0.00 Bohr magnetons per cell
ΔE to the lowest computed polymorph = 0.1668 eV per atom
N(E_F) = 4.08 states/eV per cell
ρ = 13.2 g/cm³

---

(8)
VASP calculation (PBE) on crystalline Cd2HPt2 at its relaxed geometry.

Cell: 5.560 5.560 6.777 Å, 107.73 107.73 56.87°
Atoms (fractional coordinates):
Cd: 0.043 0.264 0.133
Cd: 0.264 0.043 0.633
Cd: 0.736 0.957 0.367
Cd: 0.957 0.736 0.867
H: 0.449 0.551 0.250
H: 0.551 0.449 0.750
Pt: 0.266 0.497 0.533
Pt: 0.497 0.266 0.033
Pt: 0.503 0.734 0.967
Pt: 0.734 0.503 0.467

Computed properties:
uncorrected energy = -3.639 eV per atom
total magnetic moment = 0.00 Bohr magnetons per cell
ΔE to the lowest computed polymorph = 0.0000 eV per atom
N(E_F) = 2.36 states/eV per cell
ρ = 12.4 g/cm³